1.
This record from Alexandria via LeMat-Bulk describes crystalline KLaCo at its relaxed geometry. The functional is PBE.

Cell lengths 7.025, 7.025, 7.025 Å; angles 90.00, 90.00, 90.00 degrees
Space group F-43m (No. 216)
Symmetry-distinct sites (fractional):
K  0.000  0.000  0.000 x4
La  0.000  0.000  0.500 x4
Co  0.250  0.250  0.250 x4

Output
- relative energy among the computed polymorphs (meV/atom) = 386
- uncorrected energy (eV/atom) = -3.640
- magnetization (μB per formula unit) = 0.00
- energy relative to the elements (kJ per mole of atoms) = 71

---

2.
This record from Alexandria via LeMat-Bulk describes crystalline SiBr2Cl at its relaxed geometry. The functional is PBE.

Cell lengths 9.617, 9.617, 4.763 Å; angles 90.00, 90.00, 90.00 degrees
Space group I-42d (No. 122)
Symmetry-distinct sites (fractional):
Si  0.000  0.000  0.000 x4
Br  0.096  0.250  0.125 x8
Cl  0.000  0.000  0.500 x4

Output
- relative energy among the computed polymorphs (meV/atom) = 240
- uncorrected formation energy (meV/atom) = -236
- uncorrected energy (eV/atom) = -2.890
- magnetization (μB per formula unit) = 0.00

---

3.
This record from Alexandria via LeMat-Bulk describes crystalline Sr2CeSn3Pt4 at its relaxed geometry. The functional is PBE.

Cell lengths 4.747, 4.747, 11.039 Å; angles 90.00, 90.00, 90.00 degrees
Space group P-4m2 (No. 115)
Symmetry-distinct sites (fractional):
Sr  0.000  0.500  0.223 x2
Ce  0.000  0.000  0.500 x1
Sn  0.000  0.500  0.881 x2
Sn  0.500  0.500  0.500 x1
Pt  0.000  0.000  0.000 x1
Pt  0.000  0.500  0.641 x2
Pt  0.500  0.500  0.000 x1

Output
- uncorrected energy (eV/atom) = -5.386
- magnetization (μB per formula unit) = 0.58
- energy relative to the elements (kJ per mole of atoms) = -81

---

4.
This record from Alexandria via LeMat-Bulk describes crystalline CsTlCd2In at its relaxed geometry. The functional is PBE.

Cell lengths 5.750, 5.750, 6.115 Å; angles 90.00, 90.00, 90.00 degrees
Space group P4/mmm (No. 123)
Symmetry-distinct sites (fractional):
Cs  0.000  0.000  0.000 x1
Tl  0.500  0.500  0.000 x1
Cd  0.000  0.500  0.500 x2
In  0.500  0.500  0.500 x1

Output
- relative energy among the computed polymorphs (meV/atom) = 133
- uncorrected energy (eV/atom) = -1.475
- magnetization (μB per formula unit) = 0.00
- energy relative to the elements (kJ per mole of atoms) = 8

---

5.
This record from Alexandria via LeMat-Bulk describes crystalline BaCdAgBi2 at its relaxed geometry. The functional is PBE.

Cell lengths 4.750, 4.750, 14.098 Å; angles 90.00, 90.00, 90.00 degrees
Space group I-4m2 (No. 119)
Symmetry-distinct sites (fractional):
Ba  0.000  0.000  0.000 x2
Cd  0.000  0.500  0.750 x2
Ag  0.000  0.500  0.250 x2
Bi  0.000  0.000  0.382 x4

Output
- uncorrected energy (eV/atom) = -3.069
- magnetization (μB per formula unit) = 0.00
- energy relative to the elements (kJ per mole of atoms) = -37

---

6.
This record from Alexandria via LeMat-Bulk describes crystalline Li3Tl2I5 at its relaxed geometry. The functional is PBE.

Cell lengths 15.605, 4.566, 11.163 Å; angles 90.00, 117.74, 90.00 degrees
Space group C2/m (No. 12)
Symmetry-distinct sites (fractional):
Li  0.000  0.000  0.000 x2
Li  0.066  0.500  0.308 x4
Tl  0.177  0.000  0.749 x4
I  0.000  0.500  0.500 x2
I  0.106  0.500  0.933 x4
I  0.158  0.000  0.291 x4

Output
- uncorrected formation energy (meV/atom) = -972
- uncorrected energy (eV/atom) = -2.795
- magnetization (μB per formula unit) = 0.00

---

7.
This record from Alexandria via LeMat-Bulk describes crystalline La2TbPr3S6 at its relaxed geometry. The functional is PBE.

Cell lengths 7.090, 12.304, 7.080 Å; angles 90.00, 109.61, 90.00 degrees
Space group C2/m (No. 12)
Symmetry-distinct sites (fractional):
La  0.000  0.166  0.000 x4
Tb  0.000  0.500  0.000 x2
Pr  0.000  0.000  0.500 x2
Pr  0.000  0.330  0.500 x4
S  0.240  0.500  0.752 x4
S  0.243  0.338  0.244 x8

Output
- uncorrected formation energy (meV/atom) = -2070
- uncorrected energy (eV/atom) = -6.536
- magnetization (μB per formula unit) = 0.00

---

8.
This record from Alexandria via LeMat-Bulk describes crystalline BaPbSe2F at its relaxed geometry. The functional is PBE.

Cell lengths 4.388, 4.388, 14.287 Å; angles 90.00, 90.00, 90.00 degrees
Space group P4/nmm (No. 129, origin choice 2)
Symmetry-distinct sites (fractional):
Ba  0.250  0.250  0.110 x2
Pb  0.250  0.250  0.604 x2
Se  0.250  0.250  0.391 x2
Se  0.250  0.250  0.794 x2
F  0.250  0.750  0.000 x2

Output
- uncorrected formation energy (meV/atom) = -1686
- uncorrected energy (eV/atom) = -4.581
- magnetization (μB per formula unit) = 0.00